Compound: LaThPSe
Source: the Alexandria database
Functional: PBE-GGA
Structure: optimized geometry

Geometry as POSCAR:
```
LaThPSe
1.0
4.103 -0.001 0.000
-2.051 3.554 0.000
-2.051 -1.184 7.432
La Th P Se
1 1 1 1
Direct
0.118 0.957 0.090
0.486 0.141 0.643
0.301 0.548 0.865
0.973 0.385 0.373
```

Summary:
Density: 7.37 Mg/m³
Formation energy without anion corrections: -6.7 eV/f.u.
Uncorrected energy: -6.981 eV per atom
Space group: R3m



Compound: La4TlPSe2
Source: the Alexandria database
Functional: PBE-GGA
Structure: optimized geometry

Geometry as POSCAR:
```
La4TlPSe2
1.0
4.325 0.000 0.000
0.000 7.625 -0.178
0.000 2.660 7.219
La Tl P Se
4 1 1 2
Direct
0.000 0.756 0.735
0.000 0.244 0.265
0.500 0.742 0.266
0.500 0.258 0.734
0.500 0.500 0.000
0.000 0.500 0.500
0.000 0.000 0.000
0.500 0.000 0.500
```

Summary:
Density: 6.56 Mg/m³
Formation energy without anion corrections: -11.6 eV/f.u.
Uncorrected energy: -5.756 eV per atom
Space group: P2/m



Compound: LaPW2Se
Source: the Alexandria database
Functional: PBE-GGA
Structure: optimized geometry

Geometry as POSCAR:
```
LaPW2Se
1.0
4.590 0.000 0.000
0.000 5.740 0.000
0.000 0.000 4.590
P Se W La
1 1 2 1
Direct
0.500 0.500 0.500
0.000 0.000 0.000
0.000 0.000 0.500
0.500 0.000 0.000
0.000 0.500 0.000
```

Summary:
Density: 8.47 Mg/m³
Formation energy without anion corrections: 5.1 eV/f.u.
Uncorrected energy: -6.932 eV per atom
Space group: P4/mmm



Compound: LaYPSe
Source: the Alexandria database
Functional: PBE-GGA
Structure: optimized geometry

Geometry as POSCAR:
```
LaYPSe
1.0
4.143 0.000 0.000
2.072 3.588 0.000
2.072 1.196 6.924
La Y P Se
1 1 1 1
Direct
0.256 0.256 0.231
0.743 0.743 0.770
0.005 0.005 0.985
0.495 0.495 0.515
```

Summary:
Density: 5.45 Mg/m³
Formation energy without anion corrections: -7.3 eV/f.u.
Uncorrected energy: -6.897 eV per atom
Space group: R3m



Compound: LaZnPSe
Source: the Alexandria database
Functional: PBE-GGA
Structure: optimized geometry

Geometry as POSCAR:
```
LaZnPSe
1.0
-3.667 -1.338 1.695
0.028 -2.354 3.545
-1.874 10.252 9.376
La Zn P Se
2 2 2 2
Direct
0.087 0.087 0.740
0.913 0.913 0.260
0.689 0.689 0.933
0.311 0.311 0.067
0.629 0.629 0.114
0.371 0.371 0.886
0.789 0.789 0.634
0.211 0.211 0.366
```

Summary:
Density: 4.82 Mg/m³
Formation energy without anion corrections: -4.4 eV/f.u.
Uncorrected energy: -4.874 eV per atom
Space group: R-3m



Compound: La4SiP
Source: the Alexandria database
Functional: PBE-GGA
Structure: optimized geometry

Geometry as POSCAR:
```
La4SiP
1.0
-2.867 4.051 3.777
-0.820 5.911 -1.812
-5.714 2.066 -1.405
La Si P
4 1 1
Direct
0.876 0.375 0.375
0.375 0.375 0.876
0.375 0.876 0.375
0.375 0.375 0.375
0.000 0.000 0.000
0.750 0.750 0.750
```

Summary:
Density: 5.95 Mg/m³
Formation energy without anion corrections: 1.7 eV/f.u.
Uncorrected energy: -4.810 eV per atom
Space group: F-43m



Q: Among the records above, which one has the lowest uncorrected energy?
A: LaThPSe